## Tl2Sb4Au5 (PBE)

Data for Tl2Sb4Au5 after structural relaxation.

Lattice parameters (Å, degrees): 23.6249 4.3389 6.0261 90.00 103.00 90.00
Space group C2/m (No. 12)
Inequivalent atoms, fractional coordinates:
Tl: 0.0775 0.0000 0.1066
Sb: 0.0730 0.5000 0.6110
Sb: 0.2266 0.0000 0.2395
Au: 0.0000 0.0000 0.5000
Au: 0.1674 0.5000 0.4240
Au: 0.1745 0.5000 0.9481

Computed properties:
- Total moment: 0.0 μB/cell
- ΔE_f (raw): -0.04 eV/atom
- Total DFT energy (no corrections): -76.05 eV/cell

=====

## CoCuSi2 (PBE)

Data for CoCuSi2 after structural relaxation.

Lattice parameters (Å, degrees): 8.6609 2.6696 4.1168 90.00 96.28 90.00
Space group Cm (No. 8)
Inequivalent atoms, fractional coordinates:
Co: 0.0000 0.0000 0.0000
Cu: 0.2508 0.5000 0.3020
Si: 0.0049 0.5000 0.5092
Si: 0.2658 0.0000 0.8171

Computed properties:
- Total moment: 0.0 μB/cell
- ΔE_f (raw): -0.11 eV/atom
- Total DFT energy (no corrections): -44.96 eV/cell

=====

## Tb12Pr3Y (PBE)

Data for Tb12Pr3Y after structural relaxation.

Lattice parameters (Å, degrees): 5.0797 5.0797 20.3086 90.00 90.00 90.00
Space group P4/mmm (No. 123)
Inequivalent atoms, fractional coordinates:
Tb: 0.0000 0.0000 0.0000
Tb: 0.0000 0.0000 0.2486
Tb: 0.0000 0.0000 0.5000
Tb: 0.0000 0.5000 0.1235
Tb: 0.0000 0.5000 0.3744
Pr: 0.5000 0.5000 0.2492
Pr: 0.5000 0.5000 0.5000
Y: 0.5000 0.5000 0.0000

Computed properties:
- Total moment: 0.0 μB/cell
- Total DFT energy (no corrections): -76.06 eV/cell
- Energy of formation from the pure elements: 19.1 meV/atom